Here is a PBEsol-optimized structure of TlCd2Hg from Alexandria. Energies are from meta-GGA SCAN.

Properties
* DFT formation energy: 0.0381 eV/atom
* ΔE to the lowest computed polymorph: 4 meV per atom
* space-group type: P2/m (10)

Cell: 3.268 5.009 5.918 Å, 90.00 90.51 90.00°
Sites, in units of the cell vectors:
Tl (0.000, 0.000, 0.000)
Cd (0.486, 0.500, 0.248)
Cd (0.514, 0.500, 0.752)
Hg (0.500, 0.000, 0.500)